4
Lattice="1.847 1.066 9.358 -1.847 1.066 9.358 0.000 -2.132 9.358" Properties=species:S:1:pos:R:3 comment="TbY2Co (PBE, optimized geometry)" formation_energy_mev_per_atom=41 n_ef_per_ev_fu=4.73 density_g_cm3=5.94 final_energy_ev_per_atom=-6.1253 e_above_lowest_polymorph_ev_per_atom=0.190 pbc="T T T"
Tb 0.000 0.000 0.000
Y 0.000 0.000 6.286
Y 0.000 0.000 21.789
Co 0.000 0.000 14.038

***

4
Lattice="3.828 0.000 0.000 0.000 3.828 0.000 0.000 0.000 8.197" Properties=species:S:1:pos:R:3 comment="NdTmBi2 (PBE, optimized geometry)" formation_energy_mev_per_atom=-601 n_ef_per_ev_fu=3.84 density_g_cm3=10.10 final_energy_ev_per_atom=-4.8510 e_above_lowest_polymorph_ev_per_atom=0.261 pbc="T T T"
Nd 0.000 0.000 0.000
Tm 0.000 0.000 4.099
Bi 1.914 1.914 2.146
Bi 1.914 1.914 6.051